(1)
Li3Sm3Si2Ge: optimized geometry, PBE. Values from VASP.

```
&SYSTEM
  ibrav = 0, nat = 9, ntyp = 4
/
ATOMIC_SPECIES
Sm 150.36 Sm.upf
Li 6.94 Li.upf
Si 28.09 Si.upf
Ge 72.64 Ge.upf
CELL_PARAMETERS angstrom
7.165 0.000 0.000
-3.583 6.205 0.000
0.000 0.000 4.297
ATOMIC_POSITIONS angstrom
Sm 2.065 3.577 0.000
Sm 3.035 0.000 0.000
Sm -1.517 2.628 0.000
Li 5.489 0.000 2.149
Li -2.744 4.753 2.149
Li 0.838 1.452 2.149
Si 0.000 4.137 2.149
Si 3.583 2.068 2.149
Ge 0.000 0.000 0.000
```

Summary:
Electronic total energy ... -40.929 eV per formula unit

***

(2)
Li3Tm3Si2Ge: optimized geometry, PBE. Values from VASP.

```
&SYSTEM
  ibrav = 0, nat = 9, ntyp = 4
/
ATOMIC_SPECIES
Li 6.94 Li.upf
Tm 168.93 Tm.upf
Si 28.09 Si.upf
Ge 72.64 Ge.upf
CELL_PARAMETERS angstrom
6.900 0.000 0.000
-3.450 5.975 0.000
0.000 0.000 4.194
ATOMIC_POSITIONS angstrom
Li -0.802 1.390 2.097
Li 1.605 0.000 2.097
Li 2.647 4.585 2.097
Tm -1.970 3.412 0.000
Tm 1.480 2.563 0.000
Tm 3.940 0.000 0.000
Si 3.450 1.992 2.097
Si 0.000 3.983 2.097
Ge 0.000 0.000 0.000
```

Summary:
Electronic total energy ... -40.342 eV per formula unit

***

(3)
Li4Zn2SiGe: optimized geometry, PBE. Values from VASP.

```
&SYSTEM
  ibrav = 0, nat = 8, ntyp = 4
/
ATOMIC_SPECIES
Li 6.94 Li.upf
Zn 65.41 Zn.upf
Ge 72.64 Ge.upf
Si 28.09 Si.upf
CELL_PARAMETERS angstrom
4.975 0.000 0.000
0.000 3.919 3.369
0.000 -3.919 3.369
ATOMIC_POSITIONS angstrom
Li 2.487 2.517 4.399
Li 0.000 2.524 2.322
Li 0.000 -2.524 2.322
Li 2.487 -2.517 4.399
Zn 3.731 0.000 3.397
Zn 1.244 0.000 3.397
Ge 0.000 0.000 1.267
Si 2.487 0.000 5.453
```

Summary:
Electronic total energy ... -21.956 eV per formula unit
Energy relative to the lowest polymorph listed for this composition ... 0.093 eV/atom

***

(4)
Li4Zn2SiGe: optimized geometry, PBE. Values from VASP.

```
&SYSTEM
  ibrav = 0, nat = 8, ntyp = 4
/
ATOMIC_SPECIES
Li 6.94 Li.upf
Zn 65.41 Zn.upf
Si 28.09 Si.upf
Ge 72.64 Ge.upf
CELL_PARAMETERS angstrom
4.244 0.000 0.000
-2.122 3.675 0.000
0.000 0.000 8.123
ATOMIC_POSITIONS angstrom
Li 0.000 2.450 6.762
Li 0.000 0.000 2.706
Li 0.000 2.450 1.361
Li 0.000 0.000 5.417
Zn 2.122 1.225 0.000
Zn 2.122 1.225 4.062
Si 0.000 2.450 4.062
Ge 0.000 0.000 0.000
```

Summary:
Electronic total energy ... -22.702 eV per formula unit
Energy relative to the lowest polymorph listed for this composition ... 0.000 eV/atom

***

(5)
Li4Sm3Ge4: optimized geometry, PBE. Values from VASP.

```
&SYSTEM
  ibrav = 0, nat = 11, ntyp = 3
/
ATOMIC_SPECIES
Ge 72.64 Ge.upf
Sm 150.36 Sm.upf
Li 6.94 Li.upf
CELL_PARAMETERS angstrom
-2.188 3.389 7.271
2.188 -3.389 7.271
2.188 3.389 -7.271
ATOMIC_POSITIONS angstrom
Ge 0.000 0.000 11.435
Ge 2.188 2.121 0.000
Ge 0.000 0.000 3.107
Ge 0.000 1.268 7.271
Sm 2.188 0.000 5.376
Sm 0.000 3.389 1.896
Sm 0.000 0.000 0.000
Li 2.188 1.286 -2.484
Li 0.000 2.103 9.755
Li 2.188 1.286 2.484
Li 0.000 2.103 4.787
```

Summary:
Electronic total energy ... -47.677 eV per formula unit

***

(6)
LiTaGe: optimized geometry, PBE. Values from VASP.

```
&SYSTEM
  ibrav = 0, nat = 3, ntyp = 3
/
ATOMIC_SPECIES
Ge 72.64 Ge.upf
Li 6.94 Li.upf
Ta 180.95 Ta.upf
CELL_PARAMETERS angstrom
3.060 -2.731 1.037
-0.824 -4.147 0.139
1.619 -2.578 -2.937
ATOMIC_POSITIONS angstrom
Ge 0.000 0.000 0.000
Li 0.964 -2.364 -0.440
Ta 2.891 -7.092 -1.321
```

Summary:
Electronic total energy ... -17.628 eV per formula unit

***

(7)
LiTaGe: optimized geometry, PBE. Values from VASP.

```
&SYSTEM
  ibrav = 0, nat = 3, ntyp = 3
/
ATOMIC_SPECIES
Ta 180.95 Ta.upf
Ge 72.64 Ge.upf
Li 6.94 Li.upf
CELL_PARAMETERS angstrom
-1.576 -1.589 3.684
-3.882 -1.874 0.053
-0.328 -4.264 0.542
ATOMIC_POSITIONS angstrom
Ta 0.000 0.000 0.000
Ge -1.446 -1.932 1.070
Li -4.339 -5.795 3.209
```

Summary:
Electronic total energy ... -16.504 eV per formula unit

***

(8)
LiTbGe: optimized geometry, PBE. Values from VASP.

```
&SYSTEM
  ibrav = 0, nat = 9, ntyp = 3
/
ATOMIC_SPECIES
Li 6.94 Li.upf
Ge 72.64 Ge.upf
Tb 158.93 Tb.upf
CELL_PARAMETERS angstrom
-2.508 -7.118 -1.818
5.255 3.529 -4.494
2.928 -1.587 2.177
ATOMIC_POSITIONS angstrom
Li 4.625 1.330 -1.616
Li 2.558 -2.223 -1.426
Li -0.045 -5.077 -0.005
Ge 2.667 -0.020 -3.602
Ge 1.464 -0.794 1.088
Ge 0.079 -3.569 -2.710
Tb 1.428 0.959 -1.221
Tb -0.682 -1.934 -0.494
Tb 2.000 -2.614 -4.597
```

Summary:
Electronic total energy ... -12.417 eV per formula unit